A relaxed HfRhN2F crystal. Source: the Alexandria database, functional PBE.

```
HfRhN2F
1.0
3.969 0.000 0.000
0.000 3.969 0.000
0.000 0.000 3.846
Hf Rh N F
1 1 2 1
Direct
0.000 0.000 0.000
0.500 0.500 0.500
0.000 0.500 0.500
0.500 0.000 0.500
0.500 0.500 0.000
```

## Properties
DOS(E_F)   0.629 states/eV per atom
SG   P4/mmm (123)
ρ   9.0 g/cm³
Formation energy from raw total energies   0.9 eV/f.u.